Model w:
The following is a PBE calculation of a relaxed YMg3Cd2 crystal, from the Alexandria database.

```
12
Lattice="8.459 -2.386 0.000 8.459 2.386 0.000 -2.609 0.000 7.064" Properties=species:S:1:pos:R:3 pbc="T T T"
Y 1.456 0.000 1.289
Y 12.854 0.000 5.775
Mg -0.612 0.000 4.969
Mg 4.908 0.000 0.491
Mg 5.116 0.000 3.494
Mg 9.194 0.000 3.570
Mg 9.402 0.000 6.573
Mg 14.921 0.000 2.095
Cd 2.334 0.000 4.608
Cd 7.675 0.000 1.164
Cd 6.634 0.000 5.900
Cd 11.975 0.000 2.456
```

Magnetic moment = 0.00 Bohr magnetons per cell

Model x:
The following is a PBE calculation of a relaxed YMg3Cd2 crystal, from the Alexandria database.

```
12
Lattice="4.926 0.000 0.000 -2.463 4.266 0.000 0.000 0.000 13.405" Properties=species:S:1:pos:R:3 pbc="T T T"
Y 0.000 0.000 3.351
Y 0.000 0.000 10.054
Mg 0.000 0.000 0.000
Mg 0.000 0.000 6.702
Mg 0.000 2.844 1.410
Mg 0.000 2.844 5.292
Mg 2.463 1.422 8.113
Mg 2.463 1.422 11.995
Cd 0.000 2.844 8.466
Cd 0.000 2.844 11.641
Cd 2.463 1.422 1.764
Cd 2.463 1.422 4.939
```

Magnetic moment = 0.00 Bohr magnetons per cell

Referenced to the most stable arrangement, the calculated values in eV/atom are model w 0.041; model x 0.000.